(1)
A relaxed structure of CdAg2P2. Source: OQMD via LeMat-Bulk, functional PBE.

```
CdAg2P2
1.0
2.2331 -5.9314 0.0000
2.2331 5.9314 0.0000
0.0000 0.0000 7.7714
Cd Ag P
2 4 4
Direct
0.0831 0.9169 0.5000 Cd
0.9169 0.0831 0.0000 Cd
0.3799 0.6201 0.2176 Ag
0.3894 0.6106 0.5739 Ag
0.6106 0.3894 0.0739 Ag
0.6201 0.3799 0.7176 Ag
0.1431 0.8569 0.8818 P
0.3323 0.6677 0.8792 P
0.6677 0.3323 0.3792 P
0.8569 0.1431 0.3818 P
```

Calculated values
As for the symmetry: Cmc2_1, No. 36. The total energy comes out at -3.318 eV per atom. As for the crystal system: orthorhombic.

***

(2)
A relaxed structure of Zr2B3. Source: OQMD via LeMat-Bulk, functional PBE.

```
Zr2B3
1.0
1.7701 -10.2218 0.0000
1.7701 10.2218 0.0000
0.0000 0.0000 3.2009
Zr B
4 6
Direct
0.0674 0.9326 0.7500 Zr
0.2019 0.7981 0.2500 Zr
0.7981 0.2019 0.7500 Zr
0.9326 0.0674 0.2500 Zr
0.3415 0.6585 0.2500 B
0.3870 0.6130 0.7500 B
0.4775 0.5225 0.7500 B
0.5225 0.4775 0.2500 B
0.6130 0.3870 0.2500 B
0.6585 0.3415 0.7500 B
```

Calculated values
As for the symmetry: Cmcm, No. 63. The total energy comes out at -8.287 eV per atom. As for the crystal system: orthorhombic.

***

(3)
A relaxed structure of AgGeBr6. Source: OQMD via LeMat-Bulk, functional PBE.

```
AgGeBr6
1.0
0.0000 5.0809 5.0809
5.0809 0.0000 5.0809
5.0809 5.0809 0.0000
Ag Ge Br
1 1 6
Direct
0.0000 0.0000 0.0000 Ag
0.2500 0.2500 0.2500 Ge
0.0056 0.0056 0.4944 Br
0.0056 0.4944 0.0056 Br
0.0056 0.4944 0.4944 Br
0.4944 0.0056 0.0056 Br
0.4944 0.0056 0.4944 Br
0.4944 0.4944 0.0056 Br
```

Calculated values
As for the symmetry: F-43m, No. 216. The total energy comes out at -2.302 eV per atom. As for the crystal system: cubic.

***

(4)
A relaxed structure of Li4AlInAu2. Source: OQMD via LeMat-Bulk, functional PBE.

```
Li4AlInAu2
1.0
4.4569 0.0000 0.0000
0.0000 4.4569 0.0000
0.0000 0.0000 6.4270
Li Al In Au
4 1 1 2
Direct
0.0000 0.0000 0.0000 Li
0.0000 0.5000 0.7360 Li
0.5000 0.0000 0.2640 Li
0.5000 0.5000 0.5000 Li
0.0000 0.0000 0.5000 Al
0.5000 0.5000 0.0000 In
0.0000 0.5000 0.2775 Au
0.5000 0.0000 0.7225 Au
```

Calculated values
As for the symmetry: P-4m2, No. 115. The total energy comes out at -3.080 eV per atom. As for the crystal system: tetragonal.

***

Copy entry 1 word for word.
A relaxed structure of CdAg2P2. Source: OQMD via LeMat-Bulk, functional PBE.

```
CdAg2P2
1.0
2.2331 -5.9314 0.0000
2.2331 5.9314 0.0000
0.0000 0.0000 7.7714
Cd Ag P
2 4 4
Direct
0.0831 0.9169 0.5000 Cd
0.9169 0.0831 0.0000 Cd
0.3799 0.6201 0.2176 Ag
0.3894 0.6106 0.5739 Ag
0.6106 0.3894 0.0739 Ag
0.6201 0.3799 0.7176 Ag
0.1431 0.8569 0.8818 P
0.3323 0.6677 0.8792 P
0.6677 0.3323 0.3792 P
0.8569 0.1431 0.3818 P
```

Calculated values
As for the symmetry: Cmc2_1, No. 36. The total energy comes out at -3.318 eV per atom. As for the crystal system: orthorhombic.

***

- Number 1 is which compound?
  CdAg2P2